Record 1
The following is a DFT calculation (PBE-GGA) of crystalline Zr3InH at its relaxed geometry.

Summary:
* DFT total energy: -108.68 eV/cell

```
data_Zr3InH
_chemical_formula_sum 'Zr12 In4 H4'
_space_group_name_H-M_alt 'I -4 m 2'
_space_group_IT_number 119
_space_group_name_Hall 'I -4 -2'
_cell_length_a 5.117
_cell_length_b 5.117
_cell_length_c 21.941
_cell_angle_alpha 90.00
_cell_angle_beta 90.00
_cell_angle_gamma 90.00
loop_
_atom_site_label
_atom_site_fract_x
_atom_site_fract_y
_atom_site_fract_z
_atom_site_occupancy
Zr1 0.000 0.000 0.197 1
Zr2 0.000 0.250 0.631 1
In1 0.000 0.000 0.500 1
In2 0.000 0.500 0.750 1
H1 0.000 0.500 0.155 1
```

---

Record 2
The following is a DFT calculation (PBE-GGA) of crystalline Zr3InH at its relaxed geometry.

Summary:
* DFT total energy: -66.28 eV/cell

```
data_Zr3InH
_chemical_formula_sum 'Zr6 In2 H2'
_space_group_name_H-M_alt 'P 1'
_space_group_IT_number 1
_cell_length_a 4.130
_cell_length_b 4.643
_cell_length_c 10.207
_cell_angle_alpha 77.11
_cell_angle_beta 78.43
_cell_angle_gamma 89.88
loop_
_space_group_symop_operation_xyz
'x,y,z'
loop_
_atom_site_label
_atom_site_fract_x
_atom_site_fract_y
_atom_site_fract_z
_atom_site_occupancy
Zr1 0.000 0.000 0.000 1
Zr2 0.116 0.633 0.767 1
Zr3 0.248 0.257 0.511 1
Zr4 0.372 0.881 0.250 1
Zr5 0.744 0.762 0.511 1
Zr6 0.866 0.381 0.247 1
In1 0.489 0.492 0.014 1
In2 0.627 0.143 0.746 1
H1 0.051 0.566 0.380 1
H2 0.227 0.777 0.552 1
```

---

Record 3
The following is a DFT calculation (PBE-GGA) of crystalline Zr3InH3 at its relaxed geometry.

Summary:
* offset from the most stable computed form: 0 meV/atom

```
data_Zr3InH3
_chemical_formula_sum 'Zr6 In2 H6'
_space_group_name_H-M_alt 'P m -3 n'
_space_group_IT_number 223
_space_group_name_Hall '-P 4n 2 3'
_cell_length_a 5.815
_cell_length_b 5.815
_cell_length_c 5.815
_cell_angle_alpha 90.00
_cell_angle_beta 90.00
_cell_angle_gamma 90.00
loop_
_atom_site_label
_atom_site_fract_x
_atom_site_fract_y
_atom_site_fract_z
_atom_site_occupancy
Zr1 0.000 0.250 0.500 1
In1 0.000 0.000 0.000 1
H1 0.000 0.500 0.250 1
```

---

Record 4
The following is a DFT calculation (PBE-GGA) of crystalline Zr3InH at its relaxed geometry.

Summary:
* DFT total energy: -29.49 eV/cell

```
data_Zr3InH
_chemical_formula_sum 'Zr3 In1 H1'
_space_group_name_H-M_alt 'P 4 m m'
_space_group_IT_number 99
_cell_length_a 4.154
_cell_length_b 4.154
_cell_length_c 7.506
_cell_angle_alpha 90.00
_cell_angle_beta 90.00
_cell_angle_gamma 90.00
loop_
_space_group_symop_operation_xyz
'x,y,z'
'-y,x,z'
'-x,-y,z'
'y,-x,z'
'-x,y,z'
'y,x,z'
'x,-y,z'
'-y,-x,z'
loop_
_atom_site_label
_atom_site_fract_x
_atom_site_fract_y
_atom_site_fract_z
_atom_site_occupancy
Zr1 0.000 0.000 0.000 1
Zr2 0.000 0.500 0.707 1
In1 0.000 0.000 0.398 1
H1 0.500 0.500 0.655 1
```

---

Record 5
The following is a DFT calculation (PBE-GGA) of crystalline Zr3InH2 at its relaxed geometry.

Summary:
* offset from the most stable computed form: 0 meV/atom

```
data_Zr3InH2
_chemical_formula_sum 'Zr12 In4 H8'
_space_group_name_H-M_alt 'C m c m'
_space_group_IT_number 63
_space_group_name_Hall '-C 2c 2'
_cell_length_a 7.162
_cell_length_b 10.376
_cell_length_c 5.151
_cell_angle_alpha 90.00
_cell_angle_beta 90.00
_cell_angle_gamma 90.00
loop_
_atom_site_label
_atom_site_fract_x
_atom_site_fract_y
_atom_site_fract_z
_atom_site_occupancy
Zr1 0.000 0.132 0.250 1
Zr2 0.216 0.392 0.250 1
In1 0.000 0.329 0.750 1
H1 0.138 0.000 0.000 1
```

---

Record 6
The following is a DFT calculation (PBE-GGA) of crystalline Zr2InH at its relaxed geometry.

Summary:
* offset from the most stable computed form: 0 meV/atom

```
data_Zr2InH
_chemical_formula_sum 'Zr4 In2 H2'
_space_group_name_H-M_alt 'I m m 2'
_space_group_IT_number 44
_cell_length_a 3.640
_cell_length_b 3.889
_cell_length_c 9.896
_cell_angle_alpha 90.00
_cell_angle_beta 90.00
_cell_angle_gamma 90.00
loop_
_space_group_symop_operation_xyz
'x,y,z'
'-x,-y,z'
'-x,y,z'
'x,-y,z'
'x+1/2,y+1/2,z+1/2'
'-x+1/2,-y+1/2,z+1/2'
'-x+1/2,y+1/2,z+1/2'
'x+1/2,-y+1/2,z+1/2'
loop_
_atom_site_label
_atom_site_fract_x
_atom_site_fract_y
_atom_site_fract_z
_atom_site_occupancy
Zr1 0.000 0.000 0.000 1
Zr2 0.000 0.000 0.324 1
In1 0.000 0.000 0.663 1
H1 0.000 0.500 0.920 1
```

---

Record 7
The following is a DFT calculation (PBE-GGA) of crystalline Zr2InH2 at its relaxed geometry.

Summary:
* offset from the most stable computed form: 0 meV/atom

```
data_Zr2InH2
_chemical_formula_sum 'Zr4 In2 H4'
_space_group_name_H-M_alt 'I 4/m m m'
_space_group_IT_number 139
_space_group_name_Hall '-I 4 2'
_cell_length_a 3.826
_cell_length_b 3.826
_cell_length_c 9.760
_cell_angle_alpha 90.00
_cell_angle_beta 90.00
_cell_angle_gamma 90.00
loop_
_atom_site_label
_atom_site_fract_x
_atom_site_fract_y
_atom_site_fract_z
_atom_site_occupancy
Zr1 0.000 0.000 0.165 1
In1 0.000 0.000 0.500 1
H1 0.000 0.500 0.250 1
```

---

Record 8
The following is a DFT calculation (PBE-GGA) of crystalline Zr3InH at its relaxed geometry.

Summary:
* DFT total energy: -129.37 eV/cell

```
data_Zr3InH
_chemical_formula_sum 'Zr12 In4 H4'
_space_group_name_H-M_alt 'C m c m'
_space_group_IT_number 63
_space_group_name_Hall '-C 2c 2'
_cell_length_a 5.832
_cell_length_b 10.631
_cell_length_c 6.228
_cell_angle_alpha 90.00
_cell_angle_beta 90.00
_cell_angle_gamma 90.00
loop_
_atom_site_label
_atom_site_fract_x
_atom_site_fract_y
_atom_site_fract_z
_atom_site_occupancy
Zr1 0.000 0.000 0.000 1
Zr2 0.250 0.236 0.250 1
In1 0.000 0.484 0.250 1
H1 0.000 0.124 0.750 1
```

---

Record 9
The following is a DFT calculation (PBE-GGA) of crystalline Zr2InH at its relaxed geometry.

Summary:
* offset from the most stable computed form: 85 meV/atom

```
data_Zr2InH
_chemical_formula_sum 'Zr4 In2 H2'
_space_group_name_H-M_alt 'C 1 m 1'
_space_group_IT_number 8
_cell_length_a 5.610
_cell_length_b 3.378
_cell_length_c 8.155
_cell_angle_alpha 90.00
_cell_angle_beta 109.47
_cell_angle_gamma 90.00
loop_
_space_group_symop_operation_xyz
'x,y,z'
'x,-y,z'
'x+1/2,y+1/2,z'
'x+1/2,-y+1/2,z'
loop_
_atom_site_label
_atom_site_fract_x
_atom_site_fract_y
_atom_site_fract_z
_atom_site_occupancy
Zr1 0.000 0.000 0.000 1
Zr2 0.190 0.500 0.346 1
In1 0.183 0.000 0.675 1
H1 0.198 0.500 0.093 1
```

---

Record 10
The following is a DFT calculation (PBE-GGA) of crystalline Zr3InH at its relaxed geometry.

Summary:
* DFT total energy: -81.81 eV/cell

```
data_Zr3InH
_chemical_formula_sum 'Zr9 In3 H3'
_space_group_name_H-M_alt 'R 3 m'
_space_group_IT_number 160
_space_group_name_Hall 'R 3 -2"'
_cell_length_a 5.8742
_cell_length_b 5.8742
_cell_length_c 14.8930
_cell_angle_alpha 90.00
_cell_angle_beta 90.00
_cell_angle_gamma 120.00
loop_
_atom_site_label
_atom_site_fract_x
_atom_site_fract_y
_atom_site_fract_z
_atom_site_occupancy
Zr1 0.0062 0.5031 0.0000 1
In1 0.0000 0.0000 0.5015 1
H1 0.0000 0.0000 0.2452 1
```

---

Record 11
The following is a DFT calculation (PBE-GGA) of crystalline ZrInH2 at its relaxed geometry.

Summary:
* offset from the most stable computed form: 230 meV/atom

```
data_ZrInH2
_chemical_formula_sum 'Zr4 In4 H8'
_space_group_name_H-M_alt 'I -4 2 d'
_space_group_IT_number 122
_space_group_name_Hall 'I -4 2bw'
_cell_length_a 4.536
_cell_length_b 4.536
_cell_length_c 10.862
_cell_angle_alpha 90.00
_cell_angle_beta 90.00
_cell_angle_gamma 90.00
loop_
_atom_site_label
_atom_site_fract_x
_atom_site_fract_y
_atom_site_fract_z
_atom_site_occupancy
Zr1 0.000 0.000 0.000 1
In1 0.000 0.000 0.500 1
H1 0.153 0.250 0.125 1
```

---

Record 12
The following is a DFT calculation (PBE-GGA) of crystalline Zr3InH at its relaxed geometry.

Summary:
* DFT total energy: -133.29 eV/cell

```
data_Zr3InH
_chemical_formula_sum 'Zr12 In4 H4'
_space_group_name_H-M_alt 'C 1 2/m 1'
_space_group_IT_number 12
_cell_length_a 10.562
_cell_length_b 4.395
_cell_length_c 8.730
_cell_angle_alpha 90.00
_cell_angle_beta 114.43
_cell_angle_gamma 90.00
loop_
_space_group_symop_operation_xyz
'x,y,z'
'-x,-y,-z'
'-x,y,-z'
'x,-y,z'
'x+1/2,y+1/2,z'
'-x+1/2,-y+1/2,-z'
'-x+1/2,y+1/2,-z'
'x+1/2,-y+1/2,z'
loop_
_atom_site_label
_atom_site_fract_x
_atom_site_fract_y
_atom_site_fract_z
_atom_site_occupancy
Zr1 0.004 0.000 0.251 1
Zr2 0.248 0.000 0.621 1
Zr3 0.248 0.500 0.871 1
In1 0.000 0.500 0.000 1
In2 0.000 0.500 0.500 1
H1 0.210 0.000 0.853 1
```